Density functional theory data (PBE) for a geometry-optimized Hf7Al2Ga2 structure. Values from VASP.

Results
VASP energy: -7.451 eV/atom
Energy of formation: 0.113 eV per atom
Space group: No. 65

Structure (Quantum ESPRESSO input):
```
&SYSTEM
  ibrav = 0, nat = 11, ntyp = 3
/
ATOMIC_SPECIES
Hf 178.49 Hf.upf
Al 26.98 Al.upf
Ga 69.72 Ga.upf
ATOMIC_POSITIONS angstrom
Hf 0.0000 0.0000 0.0000
Hf 1.7559 2.4822 1.9618
Hf 1.7559 2.4822 4.8811
Hf 1.7559 -2.4822 1.9618
Hf 1.7559 -2.4822 4.8811
Hf 3.5118 0.0000 1.8271
Hf 3.5118 0.0000 5.0157
Al 1.2289 0.0000 3.4214
Al 5.7947 0.0000 3.4214
Ga 3.5118 2.0587 0.0000
Ga 3.5118 -2.0587 0.0000
CELL_PARAMETERS angstrom
3.5118 -4.9644 0.0000
3.5118 4.9644 0.0000
0.0000 0.0000 6.8429
```

Density functional theory data (PBE) for a geometry-optimized ZrFe4Si2 structure. Values from VASP.

Results
VASP energy: -8.106 eV/atom
Formation energy (no corrections): -0.50 eV/atom
Space group: No. 136

Structure (Quantum ESPRESSO input):
```
&SYSTEM
  ibrav = 0, nat = 14, ntyp = 3
/
ATOMIC_SPECIES
Zr 91.22 Zr.upf
Fe 55.84 Fe.upf
Si 28.09 Si.upf
ATOMIC_POSITIONS angstrom
Zr 0.0000 0.0000 0.0000
Zr 3.4551 3.4551 1.8627
Fe 0.6099 2.4338 1.8627
Fe 1.0212 4.0649 0.0000
Fe 2.4338 0.6099 1.8627
Fe 2.8452 5.8889 0.0000
Fe 4.0649 1.0212 0.0000
Fe 4.4763 6.3003 1.8627
Fe 5.8889 2.8452 0.0000
Fe 6.3003 4.4763 1.8627
Si 1.5025 5.4076 1.8627
Si 1.9525 1.9525 0.0000
Si 4.9576 4.9576 0.0000
Si 5.4076 1.5025 1.8627
CELL_PARAMETERS angstrom
6.9101 0.0000 0.0000
0.0000 6.9101 0.0000
0.0000 0.0000 3.7254
```

Density functional theory data (PBE) for a geometry-optimized Li2ZrPb structure. Values from VASP.

Results
VASP energy: -3.987 eV/atom
Energy of formation: 0.034 eV per atom
Space group: No. 160

Structure (Quantum ESPRESSO input):
```
&SYSTEM
  ibrav = 0, nat = 4, ntyp = 3
/
ATOMIC_SPECIES
Li 6.94 Li.upf
Zr 91.22 Zr.upf
Pb 207.20 Pb.upf
ATOMIC_POSITIONS angstrom
Li 0.0000 0.0000 0.0000
Li 0.0000 0.0000 7.6973
Zr 0.0000 0.0000 15.3736
Pb 0.0000 0.0000 23.0343
CELL_PARAMETERS angstrom
1.6174 0.9338 10.3163
-1.6174 0.9338 10.3163
0.0000 -1.8676 10.3163
```